The following is a DFT calculation (PBE-GGA) of a relaxed Mg2InBi crystal.

Output
Its space group is R3m (160). The value obtained for the electronic total energy is -2.52 eV/atom. The energy relative to the lowest polymorph listed for this composition is 38 meV/atom. The value obtained for the density of states at the Fermi level is 0.3529 states/eV/atom. The value obtained for the formation energy is -0.3 eV/f.u.

Cell lengths 4.605, 4.605, 6.789 Å; angles 70.17, 70.17, 60.00 degrees
Sites, in units of the cell vectors:
Mg 0.080 0.080 0.761
Mg 0.256 0.256 0.233
In 0.498 0.498 0.507
Bi 0.667 0.667 0.999